12
Lattice="-2.4946 3.1346 -0.2974 -1.0740 -1.2037 -3.6790 -8.9208 -6.6462 4.7786" Properties=species:S:1:pos:R:3 comment="TbTa2Pd9 (PBE, relaxed)" crystal_system=tetragonal m_tot_mub_per_cell=0.002 e_form_mev_per_atom=-546 volume_a3_per_atom=16.3 spacegroup="No. 123" total_energy_ha_per_atom=-0.2500 pbc="T T T"
Tb 0.0000 0.0000 0.0000
Ta -2.9767 -2.2177 1.5945
Ta -5.9441 -4.4285 3.1841
Pd -1.7843 0.9654 -1.9882
Pd -4.8224 -1.2980 -0.3608
Pd -7.6670 -3.4173 1.1630
Pd -2.8500 0.3733 0.7098
Pd -5.7077 -1.7558 2.2406
Pd -8.5654 -3.8848 3.7714
Pd -2.1397 -1.7959 -0.9810
Pd -4.9974 -3.9249 0.5498
Pd -7.8551 -6.0540 2.0806

***

5
Lattice="-2.1905 -5.1390 -0.2640 3.9389 -1.4900 -3.6799 3.0369 -1.4925 3.8549" Properties=species:S:1:pos:R:3 comment="ReTePbI2 (PBE, relaxed)" crystal_system=tetragonal de_polymorph_ev_per_atom=0.000 m_tot_mub_per_cell=0.447 volume_a3_per_atom=32.1 spacegroup="No. 123" e_form_raw_ev_per_fu=2.92 total_energy_ha_per_atom=-0.1431 pbc="T T T"
Pb 2.3926 -4.0607 -0.0445
Re 0.0000 0.0000 0.0000
Te 1.5184 -0.7462 1.9274
I 1.9695 -0.7450 -1.8400
I -1.0952 -2.5695 -0.1320

***

12
Lattice="4.5540 0.0001 -1.5682 -0.7216 5.0190 -2.0949 0.0964 0.2250 7.6740" Properties=species:S:1:pos:R:3 comment="Tc2MoRu3 (PBE, relaxed)" crystal_system=monoclinic m_tot_mub_per_cell=0.000 e_form_mev_per_atom=192 volume_a3_per_atom=14.9 spacegroup="No. 15" total_energy_ha_per_atom=-0.3567 pbc="T T T"
Tc 1.4113 1.9172 4.0973
Tc 1.0511 4.4267 3.0496
Tc 2.8778 0.8174 0.9612
Tc 2.5176 3.3269 -0.0864
Mo 3.3583 1.2549 -1.7423
Mo 0.5706 3.9892 5.7532
Ru 2.8473 3.7644 -2.7380
Ru 1.0816 1.4797 6.7489
Ru 3.7695 0.4624 3.4083
Ru 0.6063 2.2722 1.6204
Ru 3.3226 2.9719 2.3905
Ru 0.1594 4.7817 0.6025

***

8
Lattice="7.2962 0.0000 0.0000 0.0000 7.2962 0.0000 3.6481 3.6481 2.5155" Properties=species:S:1:pos:R:3 comment="ZnRe2Ag (PBE, relaxed)" crystal_system=tetragonal m_tot_mub_per_cell=0.000 e_form_mev_per_atom=1221 volume_a3_per_atom=16.7 spacegroup="No. 122" total_energy_ha_per_atom=-0.2218 pbc="T T T"
Re 5.2487 1.8240 0.6289
Re 2.0475 5.4721 0.6289
Re 5.4721 5.6956 1.8866
Re 9.1202 8.8968 1.8866
Zn 3.6481 3.6481 0.0000
Zn 3.6481 7.2962 1.2577
Ag 0.0000 0.0000 0.0000
Ag 7.2962 3.6481 1.2577

***

6
Lattice="-3.4503 -4.1129 2.2813 -3.0859 1.1259 4.8202 -5.7983 0.5546 -0.3122" Properties=species:S:1:pos:R:3 comment="YSc4Rh (PBE, relaxed)" crystal_system=cubic m_tot_mub_per_cell=1.438 e_form_mev_per_atom=269 volume_a3_per_atom=23.4 spacegroup="No. 216" total_energy_ha_per_atom=-0.2298 pbc="T T T"
Y -9.2508 -1.8243 5.0920
Sc -6.3516 -2.9787 3.6883
Sc -7.5324 -0.6315 2.3841
Sc -6.1684 -0.3442 4.9651
Sc -4.6165 -0.9104 2.5411
Rh 0.0000 0.0000 0.0000

***

4
Lattice="5.4378 -0.0884 0.0000 1.3664 5.2640 0.0000 -3.4021 -2.5878 3.3625" Properties=species:S:1:pos:R:3 comment="FeTeBr2 (PBE, relaxed)" crystal_system=tetragonal m_tot_mub_per_cell=3.142 volume_a3_per_atom=24.2 spacegroup="No. 139" e_form_raw_ev_per_fu=2.81 total_energy_ha_per_atom=-0.1116 pbc="T T T"
Br 0.0000 0.0000 0.0000
Br 3.4021 2.5878 0.0000
Fe 0.6832 2.6320 1.6812
Te 2.7189 -0.0442 1.6812

***

18
Lattice="7.3849 0.0000 2.6807 0.0000 7.8166 0.0000 1.0076 0.0000 8.7367" Properties=species:S:1:pos:R:3 comment="Y5Tl2Ge2 (PBE, relaxed)" crystal_system=orthorhombic m_tot_mub_per_cell=0.000 e_form_mev_per_atom=-628 volume_a3_per_atom=26.8 spacegroup="No. 64" total_energy_ha_per_atom=-0.2121 pbc="T T T"
Y 0.0000 0.0000 0.0000
Y 3.6924 3.9083 1.3403
Y 4.0979 1.3167 7.7562
Y 6.6507 6.4999 8.6829
Y 2.9583 5.2250 7.3426
Y 7.7903 2.5916 9.0966
Y 4.2946 6.4999 3.6612
Y 1.7418 1.3167 2.7345
Y 5.4342 2.5916 4.0748
Y 0.6022 5.2250 2.3208
Tl 2.1640 0.0000 5.5511
Tl 5.8564 3.9083 6.8914
Tl 6.2285 0.0000 5.8663
Tl 2.5361 3.9083 4.5260
Ge 0.9933 2.8358 0.3605
Ge 6.3916 4.9808 2.3201
Ge 2.6992 6.7441 0.9798
Ge 4.6857 1.0725 1.7009

***

5
Lattice="4.4571 0.0000 0.0000 0.0000 4.4571 0.0000 0.0000 0.0000 4.4571" Properties=species:S:1:pos:R:3 comment="CaNi3Au (PBE, relaxed)" crystal_system=cubic de_polymorph_ev_per_atom=0.756 m_tot_mub_per_cell=0.000 e_form_mev_per_atom=1383 volume_a3_per_atom=17.7 spacegroup="No. 221" total_energy_ha_per_atom=-0.1154 pbc="T T T"
Ni 0.0000 2.2286 0.0000
Ni 0.0000 0.0000 2.2286
Ni 2.2286 0.0000 0.0000
Ca 0.0000 0.0000 0.0000
Au 2.2286 2.2286 2.2286

***

10
Lattice="-0.6666 5.2422 0.8921 -4.6959 2.2174 -0.4416 -1.4307 1.4739 6.3612" Properties=species:S:1:pos:R:3 comment="UCo2Si2 (PBE, relaxed)" crystal_system=orthorhombic de_polymorph_ev_per_atom=0.177 m_tot_mub_per_cell=2.327 volume_a3_per_atom=14.7 spacegroup="No. 70" e_form_raw_ev_per_fu=-2.12 total_energy_ha_per_atom=-0.2827 pbc="T T T"
U -4.4628 6.6184 2.0397
U -2.3304 2.3151 4.7720
Co -2.2003 4.1758 1.9862
Co -5.4305 7.3321 5.1689
Co -1.3627 1.6014 1.6427
Co -4.5929 4.7576 4.8255
Si -3.9011 4.2365 0.3621
Si -2.4352 5.1753 3.9866
Si -2.8921 4.6970 6.4495
Si -4.3580 3.7582 2.8251

***

4
Lattice="3.4249 0.0000 0.0000 0.0000 3.4230 0.0000 0.0000 0.0000 5.5047" Properties=species:S:1:pos:R:3 comment="Zn2FeSb (PBE, relaxed)" crystal_system=tetragonal m_tot_mub_per_cell=1.434 volume_a3_per_atom=16.1 spacegroup="No. 99" e_form_raw_ev_per_fu=0.72 total_energy_ha_per_atom=-0.1324 pbc="T T T"
Fe 0.0000 0.0000 2.7642
Sb 1.7124 1.7115 3.9744
Zn 0.0000 0.0000 0.1897
Zn 1.7124 1.7115 1.3287

***

4
Lattice="-3.8562 3.0172 -0.3274 -2.0785 0.8610 -4.3611 -4.4521 -1.8076 -0.9958" Properties=species:S:1:pos:R:3 comment="TbHoZnNi (PBE, relaxed)" crystal_system=cubic de_polymorph_ev_per_atom=0.026 m_tot_mub_per_cell=0.000 e_form_mev_per_atom=-350 volume_a3_per_atom=20.9 spacegroup="No. 216" total_energy_ha_per_atom=-0.1623 pbc="T T T"
Ni -2.5967 0.5176 -1.4211
Zn -7.7901 1.5529 -4.2632
Tb 0.0000 0.0000 0.0000
Ho -5.1934 1.0353 -2.8422

***

10
Lattice="7.0461 0.3697 0.0007 3.8417 6.8627 -0.4122 3.6343 2.0120 6.5793" Properties=species:S:1:pos:R:3 comment="Na2HgPdBr6 (PBE, relaxed)" crystal_system=triclinic m_tot_mub_per_cell=0.000 volume_a3_per_atom=31.4 spacegroup="No. 1" e_form_raw_ev_per_fu=-8.17 total_energy_ha_per_atom=-0.0968 pbc="T T T"
Na 7.2624 4.4261 2.7292
Na 3.8054 2.1467 6.3233
Hg 10.8685 7.0142 3.1949
Pd 3.6207 2.4633 -0.0891
Br 5.5749 2.2928 1.4526
Br 5.8547 6.9465 1.6997
Br 9.7421 4.7803 1.1434
Br 8.7793 6.5994 4.5409
Br 8.2175 2.6832 5.0564
Br 5.2555 4.4525 5.0271

***

What did the second record say?
5
Lattice="-2.1905 -5.1390 -0.2640 3.9389 -1.4900 -3.6799 3.0369 -1.4925 3.8549" Properties=species:S:1:pos:R:3 comment="ReTePbI2 (PBE, relaxed)" crystal_system=tetragonal de_polymorph_ev_per_atom=0.000 m_tot_mub_per_cell=0.447 volume_a3_per_atom=32.1 spacegroup="No. 123" e_form_raw_ev_per_fu=2.92 total_energy_ha_per_atom=-0.1431 pbc="T T T"
Pb 2.3926 -4.0607 -0.0445
Re 0.0000 0.0000 0.0000
Te 1.5184 -0.7462 1.9274
I 1.9695 -0.7450 -1.8400
I -1.0952 -2.5695 -0.1320